# PBE Tb2HoHg5, optimized geometry
data_Tb2HoHg5
_cell_length_a 8.195
_cell_length_b 8.195
_cell_length_c 8.195
_cell_angle_alpha 142.99
_cell_angle_beta 142.99
_cell_angle_gamma 53.34
_space_group_name_H-M_alt 'P 1'
_space_group_IT_number 1
_space_group_name_Hall 'P 1'
loop_
_atom_site_label
_atom_site_type_symbol
_atom_site_fract_x
_atom_site_fract_y
_atom_site_fract_z
Tb1 Tb 0.236 0.236 0.000
Tb2 Tb 0.764 0.764 0.000
Ho1 Ho 0.500 0.500 0.000
Hg1 Hg 0.000 0.000 0.000
Hg2 Hg 0.123 0.623 0.500
Hg3 Hg 0.377 0.877 0.500
Hg4 Hg 0.623 0.123 0.500
Hg5 Hg 0.877 0.377 0.500
# - energy of formation (meV per atom) = -416
# - DOS at the Fermi energy (states/eV per cell) = 4.147
# - final energy (eV per atom) = -2.335